[1]
First-principles (PBE-GGA) data for a relaxed Ti2RuPt crystal, as listed in Alexandria.

Unit cell a=5.935 b=9.264 c=4.455 alpha=90.00 beta=90.00 gamma=90.00
Space group Cmcm (No. 63)
Inequivalent atoms, fractional coordinates:
Ti1 0.241 0.111 0.250
Ru1 0.000 0.378 0.250
Pt1 0.000 0.159 0.750

Summary:
For the formation energy, the calculation gives -0.789 eV/atom. The value obtained for the total energy is -137.0 eV per cell. For the size of the total moment, the calculation gives 0.00 μB/f.u.

=====

[2]
First-principles (PBE-GGA) data for a relaxed AlCu2Ni crystal, as listed in Alexandria.

Unit cell a=2.6406 b=2.6406 c=24.6267 alpha=90.00 beta=90.00 gamma=120.00
Space group R-3m (No. 166, hexagonal axes)
Inequivalent atoms, fractional coordinates:
Al1 0.0000 0.0000 0.0000
Cu1 0.0000 0.0000 0.2486
Ni1 0.0000 0.0000 0.5000

Summary:
For the formation energy, the calculation gives 0.000 eV/atom. The value obtained for the total energy is -53.1 eV per cell. For the size of the total moment, the calculation gives 0.00 μB/f.u.